i | Computed, not measured: YTa2Tl after structural relaxation at the GGA-PBE level of DFT.

POSCAR file:
```
YTa2Tl
1.0
5.366 -1.559 0.000
5.366 1.559 0.000
-1.107 0.000 5.222
Y Ta Tl
1 2 1
Direct
0.000 0.000 0.000
0.239 0.239 0.734
0.761 0.761 0.266
0.500 0.500 0.500
```

* crystal system: monoclinic
* DOS at the Fermi energy: 1.016 states/eV per atom



ii | Computed, not measured: YTa2Tl after structural relaxation at the GGA-PBE level of DFT.

POSCAR file:
```
YTa2Tl
1.0
1.972 -2.277 0.000
1.972 2.277 0.000
0.000 0.000 9.765
Y Ta Tl
1 2 1
Direct
0.000 0.000 0.000
0.500 0.500 0.261
0.500 0.500 0.739
0.000 0.000 0.500
```

* crystal system: orthorhombic
* DOS at the Fermi energy: 1.209 states/eV per atom



iii | Computed, not measured: YTa2Tl after structural relaxation at the GGA-PBE level of DFT.

POSCAR file:
```
YTa2Tl
1.0
1.576 0.910 10.309
-1.576 0.910 10.309
0.000 -1.820 10.309
Y Ta Tl
1 2 1
Direct
0.000 0.000 0.000
0.247 0.247 0.247
0.753 0.753 0.753
0.500 0.500 0.500
```

* crystal system: trigonal
* DOS at the Fermi energy: 1.055 states/eV per atom



iv | Computed, not measured: YTa2Tl after structural relaxation at the GGA-PBE level of DFT.

POSCAR file:
```
YTa2Tl
1.0
0.000 3.507 3.507
3.507 0.000 3.507
3.507 3.507 0.000
Y Ta Tl
1 2 1
Direct
0.000 0.000 0.000
0.500 0.500 0.500
0.750 0.750 0.750
0.250 0.250 0.250
```

* crystal system: cubic
* DOS at the Fermi energy: 1.153 states/eV per atom



Which of them is the most stable, and which is the least stable? iv and iii, in that order.



i | Computed, not measured: Y3TaTl after structural relaxation at the GGA-PBE level of DFT.

POSCAR file:
```
Y3TaTl
1.0
5.493 0.000 0.000
0.000 5.493 0.000
0.000 0.000 5.493
Y Ta Tl
3 1 1
Direct
0.000 0.000 0.500
0.000 0.500 0.000
0.500 0.000 0.000
0.000 0.000 0.000
0.500 0.500 0.500
```

* crystal system: cubic
* DOS at the Fermi energy: 1.602 states/eV per atom



ii | Computed, not measured: Y3TaTl after structural relaxation at the GGA-PBE level of DFT.

POSCAR file:
```
Y3TaTl
1.0
5.615 0.000 0.000
0.000 5.615 0.000
0.000 0.000 5.615
Y Ta Tl
3 1 1
Direct
0.000 0.000 0.500
0.000 0.500 0.000
0.500 0.000 0.000
0.500 0.500 0.500
0.000 0.000 0.000
```

* crystal system: cubic
* DOS at the Fermi energy: 1.224 states/eV per atom



Which of them is the most stable, and which is the least stable? i and ii, in that order.



i | Computed, not measured: ZrTa2Tl after structural relaxation at the GGA-PBE level of DFT.

POSCAR file:
```
ZrTa2Tl
1.0
3.488 0.000 0.000
0.000 3.488 0.000
0.000 0.000 6.763
Zr Ta Tl
1 2 1
Direct
0.000 0.000 0.000
0.000 0.000 0.455
0.500 0.500 0.249
0.500 0.500 0.721
```

* crystal system: tetragonal
* DOS at the Fermi energy: 0.965 states/eV per atom



ii | Computed, not measured: ZrTa2Tl after structural relaxation at the GGA-PBE level of DFT.

POSCAR file:
```
ZrTa2Tl
1.0
3.029 0.000 0.000
0.000 5.056 0.000
-0.492 0.000 5.406
Zr Ta Tl
1 2 1
Direct
0.000 0.000 0.000
0.275 0.500 0.775
0.725 0.500 0.225
0.500 0.000 0.500
```

* crystal system: monoclinic
* DOS at the Fermi energy: 0.932 states/eV per atom



iii | Computed, not measured: ZrTa2Tl after structural relaxation at the GGA-PBE level of DFT.

POSCAR file:
```
ZrTa2Tl
1.0
4.988 -1.528 0.000
4.988 1.528 0.000
-0.758 0.000 5.393
Zr Ta Tl
1 2 1
Direct
0.000 0.000 0.000
0.507 0.507 0.488
0.761 0.761 0.266
0.250 0.250 0.755
```

* crystal system: monoclinic
* DOS at the Fermi energy: 0.985 states/eV per atom



Which of them is the most stable, and which is the least stable? i and iii, in that order.



i | Computed, not measured: ZrTaTl2 after structural relaxation at the GGA-PBE level of DFT.

POSCAR file:
```
ZrTaTl2
1.0
1.632 0.942 10.546
-1.632 0.942 10.546
0.000 -1.884 10.546
Zr Ta Tl
1 1 2
Direct
0.000 0.000 0.000
0.737 0.737 0.737
0.248 0.248 0.248
0.485 0.485 0.485
```

* crystal system: trigonal
* DOS at the Fermi energy: 0.640 states/eV per atom



ii | Computed, not measured: ZrTaTl2 after structural relaxation at the GGA-PBE level of DFT.

POSCAR file:
```
ZrTaTl2
1.0
3.089 0.000 0.000
0.000 5.264 0.000
-0.311 0.000 5.426
Zr Ta Tl
1 1 2
Direct
0.000 0.000 0.000
0.817 0.500 0.288
0.380 0.500 0.799
0.487 0.000 0.487
```

* crystal system: monoclinic
* DOS at the Fermi energy: 0.868 states/eV per atom



iii | Computed, not measured: ZrTaTl2 after structural relaxation at the GGA-PBE level of DFT.

POSCAR file:
```
ZrTaTl2
1.0
1.584 0.915 10.153
-1.584 0.915 10.153
0.000 -1.829 10.153
Zr Ta Tl
1 1 2
Direct
0.000 0.000 0.000
0.500 0.500 0.500
0.248 0.248 0.248
0.752 0.752 0.752
```

* crystal system: trigonal
* DOS at the Fermi energy: 0.656 states/eV per atom



Which of them is the most stable, and which is the least stable? iii and ii, in that order.



i | Computed, not measured: ZrTa3Tl after structural relaxation at the GGA-PBE level of DFT.

POSCAR file:
```
ZrTa3Tl
1.0
4.961 0.000 0.000
0.000 4.961 0.000
0.000 0.000 4.961
Zr Ta Tl
1 3 1
Direct
0.000 0.000 0.000
0.000 0.000 0.500
0.000 0.500 0.000
0.500 0.000 0.000
0.500 0.500 0.500
```

* crystal system: cubic
* DOS at the Fermi energy: 1.180 states/eV per atom



ii | Computed, not measured: ZrTa3Tl after structural relaxation at the GGA-PBE level of DFT.

POSCAR file:
```
ZrTa3Tl
1.0
5.063 0.000 0.000
0.000 5.063 0.000
0.000 0.000 5.063
Zr Ta Tl
1 3 1
Direct
0.000 0.000 0.000
0.000 0.500 0.500
0.500 0.000 0.500
0.500 0.500 0.000
0.500 0.500 0.500
```

* crystal system: cubic
* DOS at the Fermi energy: 1.368 states/eV per atom



Which of them is the most stable, and which is the least stable? i and ii, in that order.



i | Computed, not measured: UTa2V after structural relaxation at the GGA-PBE level of DFT.

POSCAR file:
```
UTa2V
1.0
0.000 3.281 3.281
3.281 0.000 3.281
3.281 3.281 0.000
U Ta V
1 2 1
Direct
0.000 0.000 0.000
0.250 0.250 0.250
0.750 0.750 0.750
0.500 0.500 0.500
```

* crystal system: cubic
* DOS at the Fermi energy: 1.157 states/eV per atom



ii | Computed, not measured: UTa2V after structural relaxation at the GGA-PBE level of DFT.

POSCAR file:
```
UTa2V
1.0
3.331 0.000 0.000
0.000 3.331 0.000
0.000 0.000 6.448
U Ta V
1 2 1
Direct
0.000 0.000 0.000
0.500 0.500 0.262
0.500 0.500 0.738
0.000 0.000 0.500
```

* crystal system: tetragonal
* DOS at the Fermi energy: 1.508 states/eV per atom



Which of them is the most stable, and which is the least stable? i and ii, in that order.



i | Computed, not measured: UTa2W after structural relaxation at the GGA-PBE level of DFT.

POSCAR file:
```
UTa2W
1.0
3.332 0.000 0.000
0.000 3.332 0.000
0.000 0.000 6.654
U Ta W
1 2 1
Direct
0.000 0.000 0.000
0.500 0.500 0.261
0.500 0.500 0.739
0.000 0.000 0.500
```

* crystal system: tetragonal
* DOS at the Fermi energy: 1.414 states/eV per atom



ii | Computed, not measured: UTa2W after structural relaxation at the GGA-PBE level of DFT.

POSCAR file:
```
UTa2W
1.0
4.823 0.000 0.000
0.000 4.823 0.000
0.000 0.000 3.187
U Ta W
1 2 1
Direct
0.000 0.000 0.000
0.000 0.500 0.500
0.500 0.000 0.500
0.500 0.500 0.000
```

* crystal system: tetragonal
* DOS at the Fermi energy: 1.593 states/eV per atom



Which of them is the most stable, and which is the least stable? i and ii, in that order.



i | Computed, not measured: TaV3 after structural relaxation at the GGA-PBE level of DFT.

POSCAR file:
```
TaV3
1.0
2.565 1.481 7.919
-2.565 1.481 7.919
0.000 -2.962 7.919
Ta V
3 9
Direct
0.000 0.000 0.000
0.145 0.145 0.145
0.855 0.855 0.855
0.081 0.583 0.583
0.333 0.333 0.333
0.417 0.417 0.919
0.417 0.919 0.417
0.500 0.500 0.500
0.583 0.081 0.583
0.583 0.583 0.081
0.667 0.667 0.667
0.919 0.417 0.417
```

* crystal system: trigonal
* DOS at the Fermi energy: 1.267 states/eV per atom



ii | Computed, not measured: TaV3 after structural relaxation at the GGA-PBE level of DFT.

POSCAR file:
```
TaV3
1.0
0.000 3.091 3.091
3.091 0.000 3.091
3.091 3.091 0.000
Ta V
1 3
Direct
0.000 0.000 0.000
0.250 0.250 0.250
0.500 0.500 0.500
0.750 0.750 0.750
```

* crystal system: cubic
* DOS at the Fermi energy: 2.121 states/eV per atom



Which of them is the most stable, and which is the least stable? ii and i, in that order.



i | Computed, not measured: TaV3 after structural relaxation at the GGA-PBE level of DFT.

POSCAR file:
```
TaV3
1.0
4.359 0.000 0.000
0.000 4.359 0.000
0.000 0.000 3.113
Ta V
1 3
Direct
0.000 0.000 0.000
0.000 0.500 0.500
0.500 0.000 0.500
0.500 0.500 0.000
```

* crystal system: tetragonal
* DOS at the Fermi energy: 1.873 states/eV per atom



ii | Computed, not measured: TaV3 after structural relaxation at the GGA-PBE level of DFT.

POSCAR file:
```
TaV3
1.0
-1.810 1.810 4.568
1.810 -1.810 4.568
1.810 1.810 -4.568
Ta V
1 3
Direct
0.000 0.000 0.000
0.250 0.750 0.500
0.500 0.500 0.000
0.750 0.250 0.500
```

* crystal system: tetragonal
* DOS at the Fermi energy: 1.528 states/eV per atom



iii | Computed, not measured: TaV3 after structural relaxation at the GGA-PBE level of DFT.

POSCAR file:
```
TaV3
1.0
5.013 0.000 0.000
0.000 4.157 0.000
0.000 0.000 5.863
Ta V
2 6
Direct
0.250 0.000 0.169
0.750 0.000 0.831
0.000 0.500 0.500
0.250 0.000 0.639
0.250 0.500 0.884
0.500 0.500 0.500
0.750 0.000 0.361
0.750 0.500 0.116
```

* crystal system: orthorhombic
* DOS at the Fermi energy: 1.464 states/eV per atom



Which of them is the most stable, and which is the least stable? i and iii, in that order.



i | Computed, not measured: TaV4 after structural relaxation at the GGA-PBE level of DFT.

POSCAR file:
```
TaV4
1.0
4.595 0.000 0.000
0.000 4.595 0.000
0.000 0.000 4.595
Ta V
1 4
Direct
0.000 0.000 0.000
0.000 0.000 0.500
0.000 0.500 0.000
0.500 0.000 0.000
0.500 0.500 0.500
```

* crystal system: cubic
* DOS at the Fermi energy: 1.296 states/eV per atom



ii | Computed, not measured: TaV4 after structural relaxation at the GGA-PBE level of DFT.

POSCAR file:
```
TaV4
1.0
-1.787 1.787 6.001
1.787 -1.787 6.001
1.787 1.787 -6.001
Ta V
1 4
Direct
0.000 0.000 0.000
0.250 0.750 0.500
0.399 0.399 0.000
0.601 0.601 0.000
0.750 0.250 0.500
```

* crystal system: tetragonal
* DOS at the Fermi energy: 0.946 states/eV per atom



Which of them is the most stable, and which is the least stable? ii and i, in that order.



i | Computed, not measured: TaVW after structural relaxation at the GGA-PBE level of DFT.

POSCAR file:
```
TaVW
1.0
-1.331 1.331 7.476
1.331 -1.331 7.476
1.331 1.331 -7.476
Ta V W
1 1 1
Direct
0.000 0.000 0.000
0.826 0.826 0.000
0.658 0.658 0.000
```

* crystal system: tetragonal
* DOS at the Fermi energy: 1.292 states/eV per atom



ii | Computed, not measured: TaVW after structural relaxation at the GGA-PBE level of DFT.

POSCAR file:
```
TaVW
1.0
-2.560 2.617 3.656
2.560 -2.617 3.656
2.560 2.617 -3.656
Ta V W
2 2 2
Direct
0.375 0.125 0.250
0.625 0.875 0.750
0.000 0.000 0.500
0.000 0.500 0.000
0.000 0.500 0.500
0.500 0.500 0.000
```

* crystal system: orthorhombic
* DOS at the Fermi energy: 0.494 states/eV per atom



Which of them is the most stable, and which is the least stable? ii and i, in that order.